A plane-wave DFT calculation with meta-GGA SCAN was carried out for a crystal of Li2YCd relaxed with PBEsol.

Cell: 4.279 4.962 5.192 Å, 118.54 114.34 90.00°
Sites, in units of the cell vectors:
Y  0.502  0.002  0.004
Cd  0.732  0.732  0.464
Li  0.994  0.494  0.987
Li  0.272  0.272  0.544

The value obtained for the formation energy from the elements is -0.15 eV/atom. The calculation puts the volume at 21.38 A^3/atom.